w) Computed, not measured: a relaxed structure of KCr2Ru at the PBE-GGA level of DFT.

```
4
Lattice="4.364 -0.117 -0.058 3.470 2.650 -0.058 0.895 0.289 7.402" Properties=species:S:1:pos:R:3 pbc="T T T"
Cr 8.677 2.805 7.127
Cr 2.329 0.753 0.997
K 4.360 1.409 3.739
Ru 6.458 2.088 6.353
```

x) Computed, not measured: a relaxed structure of KCr2Ru at the PBE-GGA level of DFT.

```
4
Lattice="-1.509 0.539 -2.149 1.579 -2.138 -0.346 -7.239 -5.928 3.598" Properties=species:S:1:pos:R:3 pbc="T T T"
K -1.775 -2.282 -0.348
Cr -3.984 -3.263 1.980
Cr -6.874 -5.629 3.416
Ru -5.394 -5.246 1.451
```

Most stable: w) (next structure +247 meV per atom)

w) Computed, not measured: a relaxed structure of KCr2Ru at the PBE-GGA level of DFT.

```
4
Lattice="-1.889 1.006 5.333 -3.627 -3.896 2.166 5.204 1.479 -1.938" Properties=species:S:1:pos:R:3 pbc="T T T"
Cr -0.098 -0.051 0.133
Cr 0.038 0.394 3.900
K -2.701 -1.415 3.672
Ru -0.309 -1.784 1.607
```

x) Computed, not measured: a relaxed structure of KCr2Ru at the PBE-GGA level of DFT.

```
4
Lattice="3.020 0.000 0.000 0.000 3.020 0.000 0.000 0.000 8.862" Properties=species:S:1:pos:R:3 pbc="T T T"
Ru 1.510 1.510 6.646
K 1.510 1.510 2.215
Cr 0.000 0.000 5.148
Cr 0.000 0.000 8.145
```

y) Computed, not measured: a relaxed structure of KCr2Ru at the PBE-GGA level of DFT.

```
4
Lattice="5.027 0.000 0.000 0.000 5.027 0.000 0.000 0.000 2.952" Properties=species:S:1:pos:R:3 pbc="T T T"
K 2.514 0.000 1.476
Cr 0.000 0.000 0.000
Cr 2.514 2.514 0.000
Ru 0.000 2.514 1.476
```

z) Computed, not measured: a relaxed structure of KCr2Ru at the PBE-GGA level of DFT.

```
4
Lattice="-2.166 2.365 2.019 0.853 -1.249 2.379 5.779 4.775 0.606" Properties=species:S:1:pos:R:3 pbc="T T T"
Cr 5.309 3.913 1.112
Cr 3.786 2.625 0.986
Ru 3.891 3.827 3.248
K 0.575 2.064 1.755
```

Most stable: x) (next structure +16 meV per atom)

w) Computed, not measured: a relaxed structure of KCrRu2 at the PBE-GGA level of DFT.

```
4
Lattice="2.728 -0.002 0.000 -1.208 2.446 0.000 0.000 0.000 10.110" Properties=species:S:1:pos:R:3 pbc="T T T"
Ru 0.000 0.000 0.358
Ru 0.760 1.222 2.635
Cr 0.000 0.000 4.569
K 0.760 1.222 7.603
```

x) Computed, not measured: a relaxed structure of KCrRu2 at the PBE-GGA level of DFT.

```
8
Lattice="5.121 0.000 0.000 0.000 5.121 0.000 2.561 2.561 7.593" Properties=species:S:1:pos:R:3 pbc="T T T"
Cr 0.000 0.000 0.000
Cr 5.121 2.561 3.797
Ru 5.121 3.841 1.898
Ru 6.401 2.561 5.695
Ru 5.121 1.280 1.898
Ru 3.841 2.560 5.695
K 2.561 5.121 3.797
K 2.561 2.561 0.000
```

Most stable: w) (next structure +437 meV per atom)

w) Computed, not measured: a relaxed structure of KCrRu2 at the PBE-GGA level of DFT.

```
4
Lattice="4.632 -0.011 -0.185 3.771 2.689 -0.185 0.951 0.303 6.930" Properties=species:S:1:pos:R:3 pbc="T T T"
Cr 4.572 1.457 4.032
K 2.337 0.745 1.601
Ru 0.995 0.317 6.096
Ru 7.078 2.256 5.040
```

x) Computed, not measured: a relaxed structure of KCrRu2 at the PBE-GGA level of DFT.

```
4
Lattice="4.574 0.012 -0.012 3.658 2.746 -0.012 1.118 0.375 6.813" Properties=species:S:1:pos:R:3 pbc="T T T"
Ru 4.475 1.500 4.173
Ru 1.317 0.441 6.034
K 2.337 0.783 1.697
Cr 7.012 2.350 5.092
```

Most stable: x) (next structure +13 meV per atom)

w) Computed, not measured: a relaxed structure of KCrRu2 at the PBE-GGA level of DFT.

```
4
Lattice="-0.877 0.181 -2.741 -1.654 -2.332 0.375 -6.926 5.325 2.566" Properties=species:S:1:pos:R:3 pbc="T T T"
K -6.566 2.999 0.781
Cr -2.956 2.273 1.095
Ru -2.968 0.233 -0.552
Ru -0.429 0.330 0.159
```

x) Computed, not measured: a relaxed structure of KCrRu2 at the PBE-GGA level of DFT.

```
4
Lattice="2.866 0.000 0.000 0.000 4.873 0.000 0.000 0.000 4.948" Properties=species:S:1:pos:R:3 pbc="T T T"
Ru 1.433 2.437 0.000
Ru 0.000 0.000 0.000
Cr 1.433 0.000 2.474
K 0.000 2.437 2.474
```

y) Computed, not measured: a relaxed structure of KCrRu2 at the PBE-GGA level of DFT.

```
4
Lattice="10.029 0.022 0.013 9.646 2.747 0.013 9.646 1.358 2.388" Properties=species:S:1:pos:R:3 pbc="T T T"
Ru 28.859 4.062 2.376
Ru 15.122 2.128 1.245
Cr 7.330 1.032 0.604
K 21.991 3.095 1.811
```

z) Computed, not measured: a relaxed structure of KCrRu2 at the PBE-GGA level of DFT.

```
4
Lattice="4.599 0.000 0.000 2.300 3.983 0.000 2.300 1.328 3.755" Properties=species:S:1:pos:R:3 pbc="T T T"
Ru 2.300 1.328 0.939
Ru 0.000 0.000 0.000
K 6.899 3.983 2.817
Cr 4.599 2.655 1.878
```

Most stable: y) (next structure +113 meV per atom)

w) Computed, not measured: a relaxed structure of KCrRu2 at the PBE-GGA level of DFT.

```
4
Lattice="-4.740 -0.076 -2.693 0.185 -2.298 4.940 -0.665 2.322 1.105" Properties=species:S:1:pos:R:3 pbc="T T T"
Ru -2.277 -1.187 1.124
Ru 0.000 0.000 0.000
Cr -2.702 1.123 -0.794
K -0.240 0.012 3.023
```

x) Computed, not measured: a relaxed structure of KCrRu2 at the PBE-GGA level of DFT.

```
4
Lattice="-1.421 -4.223 -0.022 -0.039 -2.357 3.781 -3.876 -1.056 1.927" Properties=species:S:1:pos:R:3 pbc="T T T"
K 0.000 0.000 0.000
Ru -1.334 -1.909 1.422
Ru -4.001 -5.727 4.265
Cr -2.668 -3.818 2.843
```

Most stable: w) (next structure +73 meV per atom)